Here is LiAlRe2 after structural relaxation from the Alexandria database. Energies are from PBE.

Values from the calculation:
The calculation puts the calculated total energy at -7.55 eV per atom. For the formation energy, the calculation gives 0.08 eV/atom. Its density of states at the Fermi level is 4.57 states/eV/cell.

Unit cell a=5.2473 b=8.6664 c=2.6261 alpha=90.00 beta=107.04 gamma=90.00
With the nearest neighbours (Å) after each atom.
Space group C2/m (No. 12)
Symmetry-distinct sites (fractional):
Li (0.0000, 0.0000, 0.0000) x2  2 Al 2.62, 2 Li 2.63, 4 Re 2.67
Al (0.0000, 0.5000, 0.0000) x2  2 Li 2.62, 2 Al 2.63, 4 Re 2.67
Re (0.2500, 0.2500, 0.5000) x4  4 Re 2.62-2.63, 2 Li 2.67, 2 Al 2.67